8
Lattice="2.4497 -4.2430 0.0000 2.4497 4.2430 0.0000 0.0000 0.0000 10.0523" Properties=species:S:1:pos:R:3 comment="CaMg2Cu, relaxed, DFT PBE-GGA" volume_a3_per_atom=26.12 space_group=P6_3/mmc e_tot_ev_per_atom=-2.0890 pbc="T T T"
Mg 2.4497 1.4143 5.9172
Mg 2.4497 -1.4143 4.1351
Mg 2.4497 -1.4143 0.8910
Mg 2.4497 1.4143 9.1613
Ca 2.4497 -1.4143 7.5392
Ca 2.4497 1.4143 2.5131
Cu 0.0000 0.0000 7.5392
Cu 0.0000 0.0000 2.5131